Material: Ca2UNiO6
Method: DFT, PBE with a Hubbard U
State: optimized geometry

Computed properties:
As for the total energy: -7.260 eV/atom. Its space-group type is P4mm, No. 99.

Structure (POSCAR):
```
Ca2UNiO6
1.0
5.671 0.000 0.000
0.000 5.671 0.000
0.000 0.000 4.399
Ca U Ni O
2 1 1 6
Direct
0.000 0.500 0.000 Ca
0.500 0.000 0.000 Ca
0.000 0.000 0.597 U
0.500 0.500 0.599 Ni
0.000 0.000 0.104 O
0.249 0.249 0.648 O
0.249 0.751 0.648 O
0.500 0.500 0.119 O
0.751 0.249 0.648 O
0.751 0.751 0.648 O
```